No. 1
A plane-wave DFT calculation with GGA-PBE was carried out for a relaxed TlCuPtSe3 crystal.

```
data_TlCuPtSe3
_chemical_formula_sum 'Tl4 Cu4 Pt4 Se12'
_symmetry_space_group_name_H-M 'C 1 2/m 1'
_symmetry_Int_Tables_number 12
_cell_length_a 16.562
_cell_length_b 3.833
_cell_length_c 8.719
_cell_angle_alpha 90.00
_cell_angle_beta 103.27
_cell_angle_gamma 90.00
loop_
_symmetry_equiv_pos_as_xyz
'x,y,z'
'-x,-y,-z'
'-x,y,-z'
'x,-y,z'
'x+1/2,y+1/2,z'
'-x+1/2,-y+1/2,-z'
'-x+1/2,y+1/2,-z'
'x+1/2,-y+1/2,z'
loop_
_atom_site_label
_atom_site_type_symbol
_atom_site_fract_x
_atom_site_fract_y
_atom_site_fract_z
Tl1 Tl 0.145 0.000 0.065
Cu1 Cu 0.001 0.500 0.292
Pt1 Pt 0.167 0.000 0.582
Se1 Se 0.000 0.000 0.500
Se2 Se 0.000 0.500 0.000
Se3 Se 0.152 0.500 0.760
Se4 Se 0.163 0.500 0.393
```

Output
Theoretical density   8.6 Mg/m³
Total energy   -95.79 eV per cell
Relative energy among the computed polymorphs   74 meV per atom

No. 2
A plane-wave DFT calculation with GGA-PBE was carried out for a relaxed TlCuPtSe3 crystal.

```
data_TlCuPtSe3
_chemical_formula_sum 'Tl4 Cu4 Pt4 Se12'
_symmetry_space_group_name_H-M 'P n m a'
_symmetry_Int_Tables_number 62
_cell_length_a 13.826
_cell_length_b 3.910
_cell_length_c 10.534
_cell_angle_alpha 90.00
_cell_angle_beta 90.00
_cell_angle_gamma 90.00
loop_
_symmetry_equiv_pos_as_xyz
'x,y,z'
'-x,-y,-z'
'-x+1/2,-y,z+1/2'
'x+1/2,y,-z+1/2'
'x+1/2,-y+1/2,-z+1/2'
'-x+1/2,y+1/2,z+1/2'
'-x,y+1/2,-z'
'x,-y+1/2,z'
loop_
_atom_site_label
_atom_site_type_symbol
_atom_site_fract_x
_atom_site_fract_y
_atom_site_fract_z
Tl1 Tl 0.212 0.250 0.036
Cu1 Cu 0.011 0.750 0.076
Pt1 Pt 0.010 0.250 0.347
Se1 Se 0.088 0.250 0.564
Se2 Se 0.089 0.750 0.859
Se3 Se 0.114 0.750 0.267
```

Output
Theoretical density   8.2 Mg/m³
Total energy   -97.35 eV per cell
Relative energy among the computed polymorphs   9 meV per atom

No. 3
A plane-wave DFT calculation with GGA-PBE was carried out for a relaxed TaCuSiPt crystal.

```
data_TaCuSiPt
_chemical_formula_sum 'Ta4 Cu4 Si4 Pt4'
_symmetry_space_group_name_H-M 'F -4 3 m'
_symmetry_Int_Tables_number 216
_symmetry_space_group_name_Hall 'F -4 2 3'
_cell_length_a 6.220
_cell_length_b 6.220
_cell_length_c 6.220
_cell_angle_alpha 90.00
_cell_angle_beta 90.00
_cell_angle_gamma 90.00
loop_
_atom_site_label
_atom_site_type_symbol
_atom_site_fract_x
_atom_site_fract_y
_atom_site_fract_z
Ta1 Ta 0.000 0.000 0.000
Cu1 Cu 0.000 0.000 0.500
Si1 Si 0.250 0.250 0.250
Pt1 Pt 0.250 0.250 0.750
```

Output
Theoretical density   12.9 Mg/m³
Total energy   -111.23 eV per cell
Relative energy among the computed polymorphs   0 meV per atom